Entry 1:
Here is crystalline YNbIn at its relaxed geometry from OQMD via LeMat-Bulk. Energies are from GGA-PBE.

Summary:
The value obtained for the relative energy among the computed polymorphs is 0.00 eV/f.u.

abc: 4.9221 4.9221 4.9221
angles: 60.00 60.00 60.00
Each line ends with the local moment (μB).
Atoms (fractional coordinates):
In (0.2500, 0.2500, 0.2500)  -0.09
Nb (0.0000, 0.0000, 0.0000)  2.08
Y (0.7500, 0.7500, 0.7500)  0.46

***

Entry 2:
Here is crystalline AgPbSO at its relaxed geometry from OQMD via LeMat-Bulk. Energies are from GGA-PBE.

Summary:
The value obtained for the relative energy among the computed polymorphs is 0.00 eV/f.u.

abc: 7.2526 13.9773 6.4927
angles: 90.00 90.00 90.00
Atoms (fractional coordinates):
Ag (0.1544, 0.1139, 0.1593)
Ag (0.3456, 0.6139, 0.1593)
Ag (0.6544, 0.1139, 0.3407)
Ag (0.8456, 0.6139, 0.3407)
Ag (0.1544, 0.3861, 0.6593)
Ag (0.3456, 0.8861, 0.6593)
Ag (0.6544, 0.3861, 0.8407)
Ag (0.8456, 0.8861, 0.8407)
O (0.6655, 0.2652, 0.0991)
O (0.8345, 0.7652, 0.0991)
O (0.1655, 0.2652, 0.4009)
O (0.3345, 0.7652, 0.4009)
O (0.6655, 0.2348, 0.5991)
O (0.8345, 0.7348, 0.5991)
O (0.1655, 0.2348, 0.9009)
O (0.3345, 0.7348, 0.9009)
Pb (0.3277, 0.3305, 0.1321)
Pb (0.1723, 0.8305, 0.1321)
Pb (0.8277, 0.3305, 0.3679)
Pb (0.6723, 0.8305, 0.3679)
Pb (0.3277, 0.1695, 0.6321)
Pb (0.1723, 0.6695, 0.6321)
Pb (0.8277, 0.1695, 0.8679)
Pb (0.6723, 0.6695, 0.8679)
S (0.4377, 0.0055, 0.1456)
S (0.0623, 0.5055, 0.1456)
S (0.9377, 0.0055, 0.3544)
S (0.5623, 0.5055, 0.3544)
S (0.4377, 0.4945, 0.6456)
S (0.0623, 0.9945, 0.6456)
S (0.9377, 0.4945, 0.8544)
S (0.5623, 0.9945, 0.8544)

***

Entry 3:
Here is crystalline NbGaCuIr at its relaxed geometry from OQMD via LeMat-Bulk. Energies are from GGA-PBE.

Summary:
The value obtained for the relative energy among the computed polymorphs is 0.37 eV/f.u.

abc: 4.3931 4.3931 4.3931
angles: 60.00 60.00 60.00
Atoms (fractional coordinates):
Cu (0.7500, 0.7500, 0.7500)
Ga (0.5000, 0.5000, 0.5000)
Ir (0.0000, 0.0000, 0.0000)
Nb (0.2500, 0.2500, 0.2500)

***

Entry 4:
Here is crystalline HfCdNO at its relaxed geometry from OQMD via LeMat-Bulk. Energies are from GGA-PBE.

Summary:
The value obtained for the relative energy among the computed polymorphs is 0.00 eV/f.u.

abc: 7.2680 7.7538 4.3562
angles: 90.00 90.00 90.00
Atoms (fractional coordinates):
Cd (0.6196, 0.3596, 0.0530)
Cd (0.1196, 0.6404, 0.0530)
Cd (0.8804, 0.3596, 0.5530)
Cd (0.3804, 0.6404, 0.5530)
Hf (0.0980, 0.1157, 0.0506)
Hf (0.5980, 0.8843, 0.0506)
Hf (0.4020, 0.1157, 0.5506)
Hf (0.9020, 0.8843, 0.5506)
N (0.3861, 0.0764, 0.0503)
N (0.8861, 0.9236, 0.0503)
N (0.1139, 0.0764, 0.5503)
N (0.6139, 0.9236, 0.5503)
O (0.0425, 0.3602, 0.0485)
O (0.5425, 0.6398, 0.0485)
O (0.4575, 0.3602, 0.5485)
O (0.9575, 0.6398, 0.5485)

***

Entry 5:
Here is crystalline HgGeSO at its relaxed geometry from OQMD via LeMat-Bulk. Energies are from GGA-PBE.

Summary:
The value obtained for the relative energy among the computed polymorphs is 0.88 eV/f.u.

abc: 7.7108 7.3914 5.8329
angles: 90.00 90.00 90.00
Atoms (fractional coordinates):
Ge (0.1082, 0.1073, 0.4591)
Ge (0.6082, 0.8927, 0.4591)
Ge (0.3918, 0.1073, 0.9591)
Ge (0.8918, 0.8927, 0.9591)
Hg (0.9380, 0.3555, 0.0307)
Hg (0.4380, 0.6445, 0.0307)
Hg (0.5620, 0.3555, 0.5307)
Hg (0.0620, 0.6445, 0.5307)
O (0.9816, 0.0652, 0.1705)
O (0.4816, 0.9348, 0.1705)
O (0.5184, 0.0652, 0.6705)
O (0.0184, 0.9348, 0.6705)
S (0.5960, 0.3521, 0.0897)
S (0.0960, 0.6479, 0.0897)
S (0.9040, 0.3521, 0.5897)
S (0.4040, 0.6479, 0.5897)

***

Entry 6:
Here is crystalline Li8Pr7Ge10 at its relaxed geometry from OQMD via LeMat-Bulk. Energies are from GGA-PBE.

Summary:
Its final energy is -4.4864 eV per atom.

abc: 17.2139 17.2139 4.4624
angles: 90.00 90.00 156.77
Atoms (fractional coordinates):
Ge (0.6023, 0.0331, 0.0000)
Ge (0.9061, 0.0939, 0.0000)
Ge (0.9669, 0.3977, 0.0000)
Ge (0.0331, 0.6023, 0.0000)
Ge (0.0939, 0.9061, 0.0000)
Ge (0.3977, 0.9669, 0.0000)
Ge (0.3154, 0.3154, 0.5000)
Ge (0.6269, 0.3731, 0.5000)
Ge (0.3731, 0.6269, 0.5000)
Ge (0.6846, 0.6846, 0.5000)
Li (0.4565, 0.1705, 0.0000)
Li (0.1705, 0.4565, 0.0000)
Li (0.8295, 0.5435, 0.0000)
Li (0.5435, 0.8295, 0.0000)
Li (0.2661, 0.1142, 0.5000)
Li (0.1142, 0.2661, 0.5000)
Li (0.8858, 0.7339, 0.5000)
Li (0.7339, 0.8858, 0.5000)
Pr (0.0000, 0.0000, 0.0000)
Pr (0.5576, 0.4424, 0.0000)
Pr (0.4424, 0.5576, 0.0000)
Pr (0.8392, 0.1608, 0.5000)
Pr (0.7210, 0.2790, 0.5000)
Pr (0.2790, 0.7210, 0.5000)
Pr (0.1608, 0.8392, 0.5000)

***

Entry 7:
Here is crystalline LaZnInSe3 at its relaxed geometry from OQMD via LeMat-Bulk. Energies are from GGA-PBE.

Summary:
The value obtained for the relative energy among the computed polymorphs is 0.03 eV/f.u.

abc: 4.2419 7.5809 11.4804
angles: 90.00 90.00 73.75
Atoms (fractional coordinates):
In (0.2454, 0.5092, 0.2500)
In (0.7546, 0.4908, 0.7500)
La (0.0000, 0.0000, 0.0000)
La (0.0000, 0.0000, 0.5000)
Se (0.6328, 0.7344, 0.0755)
Se (0.9315, 0.1369, 0.2500)
Se (0.6328, 0.7344, 0.4245)
Se (0.3672, 0.2656, 0.5755)
Se (0.0685, 0.8631, 0.7500)
Se (0.3672, 0.2656, 0.9245)
Zn (0.5345, 0.9309, 0.2500)
Zn (0.4655, 0.0691, 0.7500)

***

Entry 8:
Here is crystalline NaNd2O4 at its relaxed geometry from OQMD via LeMat-Bulk. Energies are from GGA-PBE.

Summary:
Its final energy is -6.8800 eV per atom.

abc: 7.1036 7.1036 7.1036
angles: 119.99 90.01 119.99
Each line ends with the local moment (μB).
Atoms (fractional coordinates):
Na (0.0000, 0.0000, 0.0000)  0.00
Na (0.7500, 0.5000, 0.2500)  0.00
Nd (0.3750, 0.7500, 0.1250)  -0.01
Nd (0.3750, 0.7500, 0.6250)  -0.01
Nd (0.8750, 0.2500, 0.6250)  -0.02
Nd (0.3750, 0.2500, 0.6250)  -0.02
O (0.1705, 0.7803, 0.3901)  0.21
O (0.6098, 0.2197, 0.3901)  0.21
O (0.6099, 0.7803, 0.3902)  0.21
O (0.1401, 0.2803, 0.4205)  0.21
O (0.6099, 0.2197, 0.8295)  0.21
O (0.1401, 0.7197, 0.8598)  0.21
O (0.1402, 0.2803, 0.8599)  0.21
O (0.5795, 0.7197, 0.8599)  0.21

***

Entry 9:
Here is crystalline PtS2O8 at its relaxed geometry from OQMD via LeMat-Bulk. Energies are from GGA-PBE.

Summary:
Its final energy is -5.8138 eV per atom.

abc: 5.7439 5.7439 4.5465
angles: 99.32 99.32 68.20
Atoms (fractional coordinates):
O (0.6492, 0.6492, 0.2294)
O (0.7035, 0.0655, 0.2391)
O (0.0655, 0.7035, 0.2391)
O (0.1805, 0.1805, 0.3191)
O (0.8195, 0.8195, 0.6809)
O (0.9345, 0.2965, 0.7609)
O (0.2965, 0.9345, 0.7609)
O (0.3508, 0.3508, 0.7706)
Pt (0.0000, 0.0000, 0.0000)
S (0.7997, 0.7997, 0.3423)
S (0.2003, 0.2003, 0.6577)

***

Entry 10:
Here is crystalline In8TePd2 at its relaxed geometry from OQMD via LeMat-Bulk. Energies are from GGA-PBE.

Summary:
Its final energy is -3.4427 eV per atom.

abc: 10.5684 10.2910 10.2910
angles: 90.00 90.00 90.00
Atoms (fractional coordinates):
In (0.1617, 0.0000, 0.0000)
In (0.8383, 0.0000, 0.0000)
In (0.2978, 0.2923, 0.0551)
In (0.7022, 0.2923, 0.0551)
In (0.5000, 0.9038, 0.0962)
In (0.0000, 0.8097, 0.1903)
In (0.0000, 0.1971, 0.1971)
In (0.2022, 0.5551, 0.2077)
In (0.7978, 0.5551, 0.2077)
In (0.2978, 0.0551, 0.2923)
In (0.7022, 0.0551, 0.2923)
In (0.5000, 0.6971, 0.3029)
In (0.5000, 0.3097, 0.3097)
In (0.0000, 0.4038, 0.4038)
In (0.2022, 0.7923, 0.4449)
In (0.7978, 0.7923, 0.4449)
In (0.3383, 0.5000, 0.5000)
In (0.6617, 0.5000, 0.5000)
In (0.2022, 0.2077, 0.5551)
In (0.7978, 0.2077, 0.5551)
In (0.0000, 0.5962, 0.5962)
In (0.5000, 0.6903, 0.6903)
In (0.5000, 0.3029, 0.6971)
In (0.2978, 0.9449, 0.7077)
In (0.7022, 0.9449, 0.7077)
In (0.2022, 0.4449, 0.7923)
In (0.7978, 0.4449, 0.7923)
In (0.0000, 0.8029, 0.8029)
In (0.0000, 0.1903, 0.8097)
In (0.5000, 0.0962, 0.9038)
In (0.2978, 0.7077, 0.9449)
In (0.7022, 0.7077, 0.9449)
Pd (0.2610, 0.8154, 0.1846)
Pd (0.7390, 0.8154, 0.1846)
Pd (0.2390, 0.3154, 0.3154)
Pd (0.7610, 0.3154, 0.3154)
Pd (0.2390, 0.6846, 0.6846)
Pd (0.7610, 0.6846, 0.6846)
Pd (0.2610, 0.1846, 0.8154)
Pd (0.7390, 0.1846, 0.8154)
Te (0.0000, 0.5000, 0.0000)
Te (0.5000, 0.5000, 0.0000)
Te (0.0000, 0.0000, 0.5000)
Te (0.5000, 0.0000, 0.5000)

***

Entry 11:
Here is crystalline TlCuSnPt at its relaxed geometry from OQMD via LeMat-Bulk. Energies are from GGA-PBE.

Summary:
The value obtained for the relative energy among the computed polymorphs is 0.00 eV/f.u.

abc: 4.7989 4.7989 4.7989
angles: 60.00 60.00 60.00
Atoms (fractional coordinates):
Cu (0.7500, 0.7500, 0.7500)
Pt (0.2500, 0.2500, 0.2500)
Sn (0.0000, 0.0000, 0.0000)
Tl (0.5000, 0.5000, 0.5000)

***

Entry 12:
Here is crystalline MgTlZnCo at its relaxed geometry from OQMD via LeMat-Bulk. Energies are from GGA-PBE.

Summary:
The value obtained for the relative energy among the computed polymorphs is 0.00 eV/f.u.

abc: 4.5411 4.5411 4.5411
angles: 60.00 60.00 60.00
Each line ends with the local moment (μB).
Atoms (fractional coordinates):
Co (0.7500, 0.7500, 0.7500)  0.05
Mg (0.2500, 0.2500, 0.2500)  0.00
Tl (0.0000, 0.0000, 0.0000)  0.00
Zn (0.5000, 0.5000, 0.5000)  0.00

***

Entry 13:
Here is crystalline Hf3AuN2 at its relaxed geometry from OQMD via LeMat-Bulk. Energies are from GGA-PBE.

Summary:
Its final energy is -9.5924 eV per atom.

abc: 3.2404 3.2404 19.1059
angles: 90.00 90.00 120.00
Atoms (fractional coordinates):
Au (0.0000, 0.0000, 0.2500)
Au (0.0000, 0.0000, 0.7500)
Hf (0.0000, 0.0000, 0.0000)
Hf (0.6667, 0.3333, 0.1337)
Hf (0.6667, 0.3333, 0.3663)
Hf (0.0000, 0.0000, 0.5000)
Hf (0.3333, 0.6667, 0.6337)
Hf (0.3333, 0.6667, 0.8663)
N (0.3333, 0.6667, 0.0685)
N (0.3333, 0.6667, 0.4315)
N (0.6667, 0.3333, 0.5685)
N (0.6667, 0.3333, 0.9315)

***

Entry 14:
Here is crystalline K2PuAg2Te4 at its relaxed geometry from OQMD via LeMat-Bulk. Energies are from GGA-PBE.

Summary:
Its final energy is -4.4779 eV per atom.

abc: 7.9906 7.9906 6.6379
angles: 90.00 90.00 130.90
Each line ends with the local moment (μB).
Atoms (fractional coordinates):
Ag (0.5000, 0.5000, 0.0000)  -0.04
Ag (0.0000, 0.0000, 0.5000)  -0.04
K (0.5000, 0.0000, 0.2540)  0.00
K (0.0000, 0.5000, 0.7460)  0.00
Pu (0.0000, 0.0000, 0.0000)  4.95
Te (0.1396, 0.3717, 0.2556)  -0.14
Te (0.8604, 0.6283, 0.2556)  -0.14
Te (0.3717, 0.1396, 0.7444)  -0.14
Te (0.6283, 0.8604, 0.7444)  -0.14

***

Entry 15:
Here is crystalline SrBe2Cu at its relaxed geometry from OQMD via LeMat-Bulk. Energies are from GGA-PBE.

Summary:
Its final energy is -2.5543 eV per atom.

abc: 4.6191 4.6191 4.6191
angles: 60.00 60.00 60.00
Atoms (fractional coordinates):
Be (0.0000, 0.0000, 0.0000)
Be (0.7500, 0.7500, 0.7500)
Cu (0.2500, 0.2500, 0.2500)
Sr (0.5000, 0.5000, 0.5000)

***

Entry 16:
Here is crystalline Na3IrF6 at its relaxed geometry from OQMD via LeMat-Bulk. Energies are from GGA-PBE.

Summary:
Its final energy is -4.6033 eV per atom.

abc: 5.6819 5.6819 5.6819
angles: 58.94 58.94 58.94
Atoms (fractional coordinates):
F (0.3784, 0.7217, 0.1443)
F (0.8557, 0.6216, 0.2783)
F (0.7217, 0.1443, 0.3784)
F (0.2783, 0.8557, 0.6216)
F (0.1443, 0.3784, 0.7217)
F (0.6216, 0.2783, 0.8557)
Ir (0.5000, 0.5000, 0.5000)
Na (0.0000, 0.0000, 0.0000)
Na (0.2807, 0.2807, 0.2807)
Na (0.7193, 0.7193, 0.7193)

***

Entry 17:
Here is crystalline PuSiTe4 at its relaxed geometry from OQMD via LeMat-Bulk. Energies are from GGA-PBE.

Summary:
Its final energy is -5.7557 eV per atom.

abc: 8.5904 8.5904 11.3891
angles: 90.00 90.00 152.57
Each line ends with the local moment (μB).
Atoms (fractional coordinates):
Pu (0.3376, 0.6624, 0.2646)  4.91
Pu (0.6624, 0.3376, 0.7646)  4.92
Si (0.2280, 0.7720, 0.4828)  -0.04
Si (0.7720, 0.2280, 0.9828)  -0.04
Te (0.7067, 0.2933, 0.1928)  -0.12
Te (0.9790, 0.0210, 0.2448)  -0.12
Te (0.8984, 0.1016, 0.4580)  -0.09
Te (0.6226, 0.3774, 0.4961)  -0.08
Te (0.2933, 0.7067, 0.6928)  -0.12
Te (0.0210, 0.9790, 0.7448)  -0.11
Te (0.1016, 0.8984, 0.9580)  -0.09
Te (0.3774, 0.6226, 0.9961)  -0.08

***

Entry 18:
Here is crystalline Nd2YSn3PdPt2 at its relaxed geometry from OQMD via LeMat-Bulk. Energies are from GGA-PBE.

Summary:
Its final energy is -6.0550 eV per atom.

abc: 4.0897 7.6104 7.6104
angles: 119.94 90.00 90.00
Atoms (fractional coordinates):
Nd (0.0000, 0.4112, 0.0004)
Nd (0.0000, 0.0004, 0.4112)
Pd (0.0000, 0.9964, 0.9964)
Pt (0.5000, 0.6648, 0.3381)
Pt (0.5000, 0.3381, 0.6648)
Sn (0.5000, 0.2556, 0.2556)
Sn (0.5000, 0.9972, 0.7447)
Sn (0.5000, 0.7447, 0.9972)
Y (0.0000, 0.5916, 0.5916)

***

Entry 19:
Here is crystalline PuAgPb at its relaxed geometry from OQMD via LeMat-Bulk. Energies are from GGA-PBE.

Summary:
Its final energy is -6.9045 eV per atom.

abc: 4.9060 4.9060 4.9060
angles: 60.00 60.00 60.00
Each line ends with the local moment (μB).
Atoms (fractional coordinates):
Ag (0.0000, 0.0000, 0.0000)  -0.02
Pb (0.2500, 0.2500, 0.2500)  -0.08
Pu (0.7500, 0.7500, 0.7500)  5.26

***

Entry 20:
Here is crystalline Tb2PrMg3TlIn2 at its relaxed geometry from OQMD via LeMat-Bulk. Energies are from GGA-PBE.

Summary:
Its final energy is -3.3330 eV per atom.

abc: 4.7091 7.6463 7.6463
angles: 120.74 90.00 90.00
Atoms (fractional coordinates):
In (0.5000, 0.6725, 0.3307)
In (0.5000, 0.3307, 0.6725)
Mg (0.5000, 0.2423, 0.0006)
Mg (0.5000, 0.0006, 0.2423)
Mg (0.5000, 0.7562, 0.7562)
Pr (0.0000, 0.4324, 0.4324)
Tb (0.0000, 0.5722, 0.0016)
Tb (0.0000, 0.0016, 0.5722)
Tl (0.0000, 0.9915, 0.9915)